Record 1
This record from Alexandria via LeMat-Bulk describes ScRhN2F after structural relaxation. The functional is PBE-GGA.

a = 4.196 Å, b = 4.196 Å, c = 3.834 Å
α = 90.00°, β = 90.00°, γ = 90.00°
Atoms (fractional coordinates):
Sc: 0.000 0.000 0.000
Rh: 0.500 0.500 0.500
N: 0.000 0.500 0.000
N: 0.500 0.000 0.000
F: 0.000 0.000 0.500

Output
symmetry = P4/mmm (123)
polymorph energy (0 for the lowest one) = 270 meV/atom
uncorrected energy = -0.2305 hartree per atom
raw formation energy = 0.170 eV/atom



Record 2
This record from Alexandria via LeMat-Bulk describes Ca2EuPa after structural relaxation. The functional is PBE-GGA.

a = 3.577 Å, b = 3.577 Å, c = 35.584 Å
α = 90.00°, β = 90.00°, γ = 120.00°
Atoms (fractional coordinates):
Ca: 0.000 0.000 0.245
Ca: 0.000 0.000 0.755
Ca: 0.333 0.667 0.421
Ca: 0.333 0.667 0.912
Ca: 0.667 0.333 0.088
Ca: 0.667 0.333 0.579
Eu: 0.000 0.000 0.000
Eu: 0.333 0.667 0.667
Eu: 0.667 0.333 0.333
Pa: 0.000 0.000 0.500
Pa: 0.333 0.667 0.167
Pa: 0.667 0.333 0.833

Output
symmetry = R-3m (166)
uncorrected energy = -0.2056 hartree per atom
formation enthalpy at 0 K = 0.349 eV per atom



Record 3
This record from Alexandria via LeMat-Bulk describes ThMnBi2 after structural relaxation. The functional is PBE-GGA.

a = 3.516 Å, b = 3.516 Å, c = 31.867 Å
α = 90.00°, β = 90.00°, γ = 120.00°
Atoms (fractional coordinates):
Th: 0.000 0.000 0.000
Th: 0.333 0.667 0.667
Th: 0.667 0.333 0.333
Mn: 0.000 0.000 0.500
Mn: 0.333 0.667 0.167
Mn: 0.667 0.333 0.833
Bi: 0.000 0.000 0.105
Bi: 0.000 0.000 0.895
Bi: 0.333 0.667 0.562
Bi: 0.333 0.667 0.772
Bi: 0.667 0.333 0.228
Bi: 0.667 0.333 0.438

Output
symmetry = R-3m (166)
uncorrected energy = -0.2135 hartree per atom
formation enthalpy at 0 K = 0.278 eV per atom



Record 4
This record from Alexandria via LeMat-Bulk describes MgFeTcS2 after structural relaxation. The functional is PBE-GGA.

a = 4.569 Å, b = 4.569 Å, c = 4.758 Å
α = 90.00°, β = 90.00°, γ = 90.00°
Atoms (fractional coordinates):
Mg: 0.000 0.000 0.000
Fe: 0.500 0.500 0.500
Tc: 0.000 0.000 0.500
S: 0.000 0.500 0.000
S: 0.500 0.000 0.000

Output
symmetry = P4/mmm (123)
uncorrected energy = -0.1611 hartree per atom
raw formation energy = 1.351 eV/atom



Record 5
This record from Alexandria via LeMat-Bulk describes Sc3Sb4Au3 after structural relaxation. The functional is PBE-GGA.

a = 8.386 Å, b = 8.386 Å, c = 8.386 Å
α = 109.47°, β = 109.47°, γ = 109.47°
Atoms (fractional coordinates):
Sc: 0.125 0.750 0.875
Sc: 0.250 0.625 0.375
Sc: 0.375 0.250 0.625
Sc: 0.625 0.375 0.250
Sc: 0.750 0.875 0.125
Sc: 0.875 0.125 0.750
Sb: 0.000 0.311 0.500
Sb: 0.000 0.811 0.500
Sb: 0.189 0.189 0.189
Sb: 0.311 0.500 0.000
Sb: 0.500 0.000 0.311
Sb: 0.500 0.000 0.811
Sb: 0.689 0.689 0.689
Sb: 0.811 0.500 0.000
Au: 0.125 0.875 0.250
Au: 0.250 0.125 0.875
Au: 0.375 0.625 0.750
Au: 0.625 0.750 0.375
Au: 0.750 0.375 0.625
Au: 0.875 0.250 0.125

Output
symmetry = I-43d (220)
uncorrected energy = -0.1891 hartree per atom
raw formation energy = -0.613 eV/atom



Record 6
This record from Alexandria via LeMat-Bulk describes As2PdAu2 after structural relaxation. The functional is PBE-GGA.

a = 6.981 Å, b = 6.981 Å, c = 3.872 Å
α = 90.00°, β = 90.00°, γ = 90.00°
Atoms (fractional coordinates):
As: 0.169 0.331 0.000
As: 0.331 0.831 0.000
As: 0.669 0.169 0.000
As: 0.831 0.669 0.000
Pd: 0.000 0.000 0.000
Pd: 0.500 0.500 0.000
Au: 0.145 0.645 0.500
Au: 0.355 0.145 0.500
Au: 0.645 0.855 0.500
Au: 0.855 0.355 0.500

Output
symmetry = P4/mbm (127)
uncorrected energy = -0.1511 hartree per atom
formation enthalpy at 0 K = 0.097 eV per atom



Record 7
This record from Alexandria via LeMat-Bulk describes PrHo12Er5 after structural relaxation. The functional is PBE-GGA.

a = 6.128 Å, b = 6.128 Å, c = 17.279 Å
α = 93.26°, β = 93.26°, γ = 120.12°
Atoms (fractional coordinates):
Pr: 0.000 0.000 0.000
Ho: 0.055 0.390 0.168
Ho: 0.111 0.111 0.333
Ho: 0.222 0.555 0.667
Ho: 0.279 0.279 0.832
Ho: 0.390 0.055 0.168
Ho: 0.445 0.778 0.333
Ho: 0.555 0.222 0.667
Ho: 0.610 0.945 0.832
Ho: 0.721 0.721 0.168
Ho: 0.778 0.445 0.333
Ho: 0.889 0.889 0.667
Ho: 0.945 0.610 0.832
Er: 0.166 0.834 0.500
Er: 0.333 0.667 0.000
Er: 0.500 0.500 0.500
Er: 0.667 0.333 0.000
Er: 0.834 0.166 0.500

Output
symmetry = C2/m (12)
uncorrected energy = -0.1681 hartree per atom
formation enthalpy at 0 K = 0.010 eV per atom



Record 8
This record from Alexandria via LeMat-Bulk describes BeNiSeI2 after structural relaxation. The functional is PBE-GGA.

a = 5.232 Å, b = 5.232 Å, c = 4.191 Å
α = 90.00°, β = 90.00°, γ = 90.00°
Atoms (fractional coordinates):
Be: 0.000 0.000 0.000
Ni: 0.000 0.000 0.500
Se: 0.500 0.500 0.000
I: 0.000 0.500 0.500
I: 0.500 0.000 0.500

Output
symmetry = P4/mmm (123)
uncorrected energy = -0.0947 hartree per atom
raw formation energy = 0.642 eV/atom



Record 9
This record from Alexandria via LeMat-Bulk describes YGe3 after structural relaxation. The functional is PBE-GGA.

a = 4.095 Å, b = 4.095 Å, c = 9.795 Å
α = 90.00°, β = 90.00°, γ = 90.00°
Atoms (fractional coordinates):
Y: 0.000 0.000 0.000
Y: 0.500 0.500 0.500
Ge: 0.000 0.000 0.500
Ge: 0.000 0.500 0.250
Ge: 0.000 0.500 0.750
Ge: 0.500 0.000 0.250
Ge: 0.500 0.000 0.750
Ge: 0.500 0.500 0.000

Output
symmetry = I4/mmm (139)
uncorrected energy = -0.1992 hartree per atom
formation enthalpy at 0 K = -0.341 eV per atom



Record 10
This record from Alexandria via LeMat-Bulk describes KRe2Si after structural relaxation. The functional is PBE-GGA.

a = 3.100 Å, b = 4.576 Å, c = 9.769 Å
α = 90.00°, β = 90.00°, γ = 90.00°
Atoms (fractional coordinates):
K: 0.000 0.000 0.000
K: 0.500 0.500 0.000
Re: 0.000 0.500 0.304
Re: 0.000 0.500 0.696
Re: 0.500 0.000 0.304
Re: 0.500 0.000 0.696
Si: 0.000 0.000 0.500
Si: 0.500 0.500 0.500

Output
symmetry = Cmmm (65)
uncorrected energy = -0.2630 hartree per atom
raw formation energy = 0.697 eV/atom



Record 11
This record from Alexandria via LeMat-Bulk describes Ba4HoRh3O12 after structural relaxation. The functional is PBE-GGA.

a = 7.191 Å, b = 7.191 Å, c = 7.191 Å
α = 109.47°, β = 109.47°, γ = 109.47°
Atoms (fractional coordinates):
Ba: 0.000 0.000 0.500
Ba: 0.000 0.500 0.000
Ba: 0.500 0.000 0.000
Ba: 0.500 0.500 0.500
Ho: 0.000 0.000 0.000
Rh: 0.000 0.500 0.500
Rh: 0.500 0.000 0.500
Rh: 0.500 0.500 0.000
O: 0.000 0.263 0.263
O: 0.000 0.737 0.737
O: 0.250 0.500 0.750
O: 0.250 0.750 0.500
O: 0.263 0.000 0.263
O: 0.263 0.263 0.000
O: 0.500 0.250 0.750
O: 0.500 0.750 0.250
O: 0.737 0.000 0.737
O: 0.737 0.737 0.000
O: 0.750 0.250 0.500
O: 0.750 0.500 0.250

Output
symmetry = Im-3m (229)
uncorrected energy = -0.2417 hartree per atom
raw formation energy = -1.885 eV/atom